No. 1
## CaCrAu (GGA-PBEsol)

Data for an optimized crystal structure of CaCrAu.

Computed properties:
Energy of formation from the pure elements, meV per atom: 147
ΔE to the lowest computed polymorph, eV/atom: 0.000

The structure in extended XYZ format:
```
6
Lattice="3.514 0.000 0.000 0.000 3.514 0.000 0.000 0.000 10.274" Properties=species:S:1:pos:R:3 pbc="T T T"
Ca 0.000 0.000 0.000
Ca 1.757 1.757 5.137
Cr 0.000 0.000 3.040
Cr 1.757 1.757 8.177
Au 0.000 0.000 7.048
Au 1.757 1.757 1.911
```

No. 2
## K6Na14Tl18Zn (GGA-PBEsol)

Data for an optimized crystal structure of K6Na14Tl18Zn.

Computed properties:
Energy of formation from the pure elements, meV per atom: -142

The structure in extended XYZ format:
```
39
Lattice="10.485 0.000 0.000 0.000 10.485 0.000 0.000 0.000 10.485" Properties=species:S:1:pos:R:3 pbc="T T T"
K 0.000 1.977 5.242
K 0.000 8.508 5.242
K 1.977 5.242 0.000
K 5.242 0.000 1.977
K 5.242 0.000 8.508
K 8.508 5.242 0.000
Na 0.000 5.242 3.477
Na 0.000 5.242 7.007
Na 2.943 2.943 2.943
Na 2.943 2.943 7.541
Na 2.943 7.541 2.943
Na 2.943 7.541 7.541
Na 3.477 0.000 5.242
Na 5.242 3.477 0.000
Na 5.242 7.007 0.000
Na 7.007 0.000 5.242
Na 7.541 2.943 2.943
Na 7.541 2.943 7.541
Na 7.541 7.541 2.943
Na 7.541 7.541 7.541
Tl 0.000 2.647 1.607
Tl 0.000 2.647 8.877
Tl 0.000 7.837 1.607
Tl 0.000 7.837 8.877
Tl 1.607 0.000 2.647
Tl 1.607 0.000 7.837
Tl 2.647 1.607 0.000
Tl 2.647 8.877 0.000
Tl 2.922 5.242 5.242
Tl 5.242 2.922 5.242
Tl 5.242 5.242 2.922
Tl 5.242 5.242 7.562
Tl 5.242 7.562 5.242
Tl 7.562 5.242 5.242
Tl 7.837 1.607 0.000
Tl 7.837 8.877 0.000
Tl 8.877 0.000 2.647
Tl 8.877 0.000 7.837
Zn 0.000 0.000 0.000
```

No. 3
## Zr3Al2 (GGA-PBEsol)

Data for an optimized crystal structure of Zr3Al2.

Computed properties:
Energy of formation from the pure elements, meV per atom: -390

The structure in extended XYZ format:
```
20
Lattice="7.582 0.000 0.000 0.000 7.582 0.000 0.000 0.000 6.916" Properties=species:S:1:pos:R:3 pbc="T T T"
Zr 0.000 3.791 1.729
Zr 0.000 3.791 5.187
Zr 1.187 1.187 0.000
Zr 1.511 1.511 3.458
Zr 2.280 5.301 0.000
Zr 2.604 4.977 3.458
Zr 3.791 0.000 1.729
Zr 3.791 0.000 5.187
Zr 4.977 2.604 3.458
Zr 5.301 2.280 0.000
Zr 6.071 6.071 3.458
Zr 6.395 6.395 0.000
Al 0.920 6.661 1.986
Al 0.920 6.661 4.930
Al 2.871 2.871 1.472
Al 2.871 2.871 5.444
Al 4.711 4.711 1.472
Al 4.711 4.711 5.444
Al 6.661 0.920 1.986
Al 6.661 0.920 4.930
```

No. 4
## Rb3ErO3 (GGA-PBEsol)

Data for an optimized crystal structure of Rb3ErO3.

Computed properties:
Formation energy (no corrections), eV/f.u.: -13.6
ΔE to the lowest computed polymorph, eV/atom: 0.012

The structure in extended XYZ format:
```
14
Lattice="3.783 -6.087 0.000 3.783 6.087 0.000 -1.159 0.000 7.033" Properties=species:S:1:pos:R:3 pbc="T T T"
Rb 3.783 3.588 0.000
Rb 3.204 2.943 3.516
Rb 2.566 0.000 0.981
Rb 3.842 0.000 6.051
Rb 3.204 -2.943 3.516
Rb 3.783 -3.588 0.000
Er 0.603 0.000 4.560
Er 5.805 0.000 2.472
O 0.370 0.000 2.416
O 1.444 1.705 5.403
O 1.444 -1.705 5.403
O 4.964 1.705 1.630
O 4.964 -1.705 1.630
O 6.038 0.000 4.616
```

No. 5
## FeCoMo2 (GGA-PBEsol)

Data for an optimized crystal structure of FeCoMo2.

Computed properties:
Energy of formation from the pure elements, meV per atom: 159
ΔE to the lowest computed polymorph, eV/atom: 0.098

The structure in extended XYZ format:
```
4
Lattice="3.072 0.000 0.000 0.000 3.072 0.000 0.000 0.000 5.427" Properties=species:S:1:pos:R:3 pbc="T T T"
Fe 0.000 0.000 0.000
Co 1.536 1.536 4.075
Mo 0.000 0.000 2.912
Mo 1.536 1.536 1.236
```

No. 6
## RuC (GGA-PBEsol)

Data for an optimized crystal structure of RuC.

Computed properties:
Energy of formation from the pure elements, meV per atom: 550
ΔE to the lowest computed polymorph, eV/atom: 0.000

The structure in extended XYZ format:
```
8
Lattice="5.402 0.000 0.000 0.000 2.814 0.000 0.000 0.000 5.193" Properties=species:S:1:pos:R:3 pbc="T T T"
Ru 0.227 0.704 1.229
Ru 2.474 2.111 3.826
Ru 2.928 0.704 1.368
Ru 5.175 2.111 3.964
C 1.336 2.111 2.190
C 1.365 0.704 4.786
C 4.037 2.111 0.407
C 4.066 0.704 3.004
```

No. 7
## SeSO2 (GGA-PBEsol)

Data for an optimized crystal structure of SeSO2.

Computed properties:
Formation energy (no corrections), eV/f.u.: 2.1

The structure in extended XYZ format:
```
8
Lattice="0.000 4.274 4.274 4.274 0.000 4.274 4.274 4.274 0.000" Properties=species:S:1:pos:R:3 pbc="T T T"
Se 1.068 1.068 1.068
Se 7.479 7.479 7.479
S 3.205 3.205 3.205
S 5.342 5.342 5.342
O 0.000 0.000 0.000
O 2.137 2.137 0.000
O 2.137 0.000 2.137
O 0.000 2.137 2.137
```

No. 8
## W2Se (GGA-PBEsol)

Data for an optimized crystal structure of W2Se.

Computed properties:
Formation energy (no corrections), eV/f.u.: 1.8

The structure in extended XYZ format:
```
12
Lattice="3.006 0.000 0.000 0.000 14.229 0.000 0.000 0.000 4.480" Properties=species:S:1:pos:R:3 pbc="T T T"
W 0.000 0.647 1.120
W 0.000 4.116 3.360
W 0.000 10.113 1.120
W 0.000 13.582 3.360
W 1.503 2.999 1.120
W 1.503 6.468 3.360
W 1.503 7.762 1.120
W 1.503 11.230 3.360
Se 0.000 5.358 1.120
Se 0.000 8.871 3.360
Se 1.503 1.756 3.360
Se 1.503 12.473 1.120
```

No. 9
## Re2HgCl (GGA-PBEsol)

Data for an optimized crystal structure of Re2HgCl.

Computed properties:
Formation energy (no corrections), eV/f.u.: 4.0
ΔE to the lowest computed polymorph, eV/atom: 0.753

The structure in extended XYZ format:
```
8
Lattice="2.752 0.000 0.000 0.000 5.028 0.000 0.000 0.000 9.364" Properties=species:S:1:pos:R:3 pbc="T T T"
Re 0.000 0.000 2.181
Re 0.000 0.000 7.183
Re 1.376 2.514 2.181
Re 1.376 2.514 7.183
Hg 0.000 2.514 4.682
Hg 1.376 0.000 4.682
Cl 0.000 2.514 0.000
Cl 1.376 0.000 0.000
```

No. 10
## MgCo2Ru (GGA-PBEsol)

Data for an optimized crystal structure of MgCo2Ru.

Computed properties:
Energy of formation from the pure elements, meV per atom: 216

The structure in extended XYZ format:
```
4
Lattice="4.135 0.000 0.000 0.000 4.135 0.000 0.000 0.000 2.934" Properties=species:S:1:pos:R:3 pbc="T T T"
Mg 0.000 0.000 0.000
Co 0.000 2.068 1.467
Co 2.068 0.000 1.467
Ru 2.068 2.068 0.000
```

No. 11
## Al2ReAs (GGA-PBEsol)

Data for an optimized crystal structure of Al2ReAs.

Computed properties:
Energy of formation from the pure elements, meV per atom: 222
ΔE to the lowest computed polymorph, eV/atom: 0.141

The structure in extended XYZ format:
```
4
Lattice="3.272 0.000 0.000 0.000 4.191 0.000 0.000 0.000 4.348" Properties=species:S:1:pos:R:3 pbc="T T T"
Al 0.000 0.000 0.000
Al 1.636 0.000 2.174
Re 0.000 2.095 2.174
As 1.636 2.095 0.000
```

No. 12
## Li2ZrHg (GGA-PBEsol)

Data for an optimized crystal structure of Li2ZrHg.

Computed properties:
Energy of formation from the pure elements, meV per atom: -15

The structure in extended XYZ format:
```
8
Lattice="3.639 0.000 0.000 0.000 4.562 0.000 0.000 0.000 9.137" Properties=species:S:1:pos:R:3 pbc="T T T"
Li 0.000 0.000 2.056
Li 0.000 0.000 7.081
Li 1.819 2.281 2.056
Li 1.819 2.281 7.081
Zr 0.000 2.281 4.569
Zr 1.819 0.000 4.569
Hg 0.000 2.281 0.000
Hg 1.819 0.000 0.000
```